# Th4Te2RuPt PBE relaxed
# ΔE_f (raw) = -1.04 eV per atom
data_Th4Te2RuPt
_chemical_formula_sum 'Th4 Te2 Ru1 Pt1'
_space_group_name_H-M_alt 'P 1'
_space_group_IT_number 1
_space_group_name_Hall 'P 1'
_cell_length_a 7.275
_cell_length_b 4.228
_cell_length_c 8.055
_cell_angle_alpha 90.00
_cell_angle_beta 107.51
_cell_angle_gamma 90.00
loop_
_atom_site_label
_atom_site_type_symbol
_atom_site_fract_x
_atom_site_fract_y
_atom_site_fract_z
Th1 Th 0.229 0.000 0.203
Th2 Th 0.255 0.500 0.797
Th3 Th 0.745 0.500 0.203
Th4 Th 0.771 0.000 0.797
Te1 Te 0.000 0.000 0.500
Te2 Te 0.500 0.500 0.500
Ru1 Ru 0.000 0.500 0.000
Pt1 Pt 0.500 0.000 0.000

# Th6Te3Ru2Pt PBE relaxed
# ΔE_f (raw) = -1.00 eV per atom
data_Th6Te3Ru2Pt
_chemical_formula_sum 'Th6 Te3 Ru2 Pt1'
_space_group_name_H-M_alt 'P 1'
_space_group_IT_number 1
_space_group_name_Hall 'P 1'
_cell_length_a 7.269
_cell_length_b 7.269
_cell_length_c 8.074
_cell_angle_alpha 98.63
_cell_angle_beta 98.63
_cell_angle_gamma 119.99
loop_
_atom_site_label
_atom_site_type_symbol
_atom_site_fract_x
_atom_site_fract_y
_atom_site_fract_z
Th1 Th 0.089 0.433 0.798
Th2 Th 0.224 0.224 0.201
Th3 Th 0.433 0.089 0.798
Th4 Th 0.567 0.911 0.202
Th5 Th 0.776 0.776 0.799
Th6 Th 0.911 0.567 0.202
Te1 Te 0.000 0.000 0.500
Te2 Te 0.335 0.665 0.500
Te3 Te 0.665 0.335 0.500
Ru1 Ru 0.167 0.833 0.000
Ru2 Ru 0.833 0.167 0.000
Pt1 Pt 0.500 0.500 0.000

# Th8Te4Ru3Pt PBE relaxed
# ΔE_f (raw) = -0.97 eV per atom
data_Th8Te4Ru3Pt
_chemical_formula_sum 'Th8 Te4 Ru3 Pt1'
_space_group_name_H-M_alt 'P 1'
_space_group_IT_number 1
_space_group_name_Hall 'P 1'
_cell_length_a 9.092
_cell_length_b 9.092
_cell_length_c 9.092
_cell_angle_alpha 54.88
_cell_angle_beta 54.88
_cell_angle_gamma 54.88
loop_
_atom_site_label
_atom_site_type_symbol
_atom_site_fract_x
_atom_site_fract_y
_atom_site_fract_z
Th1 Th 0.226 0.738 0.738
Th2 Th 0.234 0.234 0.234
Th3 Th 0.262 0.262 0.774
Th4 Th 0.262 0.774 0.262
Th5 Th 0.738 0.226 0.738
Th6 Th 0.738 0.738 0.226
Th7 Th 0.766 0.766 0.766
Th8 Th 0.774 0.262 0.262
Te1 Te 0.000 0.000 0.000
Te2 Te 0.000 0.500 0.500
Te3 Te 0.500 0.000 0.500
Te4 Te 0.500 0.500 0.000
Ru1 Ru 0.000 0.000 0.500
Ru2 Ru 0.000 0.500 0.000
Ru3 Ru 0.500 0.000 0.000
Pt1 Pt 0.500 0.500 0.500

# TiTe2RuPt PBE relaxed
# ΔE_f (raw) = 0.87 eV per atom
# ΔE to the lowest computed polymorph = 1.12 eV/f.u.
data_TiTe2RuPt
_chemical_formula_sum 'Ti1 Te2 Ru1 Pt1'
_space_group_name_H-M_alt 'P 1'
_space_group_IT_number 1
_space_group_name_Hall 'P 1'
_cell_length_a 5.183
_cell_length_b 5.183
_cell_length_c 4.747
_cell_angle_alpha 90.00
_cell_angle_beta 90.00
_cell_angle_gamma 90.00
loop_
_atom_site_label
_atom_site_type_symbol
_atom_site_fract_x
_atom_site_fract_y
_atom_site_fract_z
Ti1 Ti 0.000 0.000 0.000
Te1 Te 0.000 0.500 0.000
Te2 Te 0.500 0.000 0.000
Ru1 Ru 0.500 0.500 0.500
Pt1 Pt 0.000 0.000 0.500

# TiTe2RuPt PBE relaxed
# ΔE_f (raw) = 0.65 eV per atom
# ΔE to the lowest computed polymorph = 0.00 eV/f.u.
data_TiTe2RuPt
_chemical_formula_sum 'Ti1 Te2 Ru1 Pt1'
_space_group_name_H-M_alt 'P 1'
_space_group_IT_number 1
_space_group_name_Hall 'P 1'
_cell_length_a 5.115
_cell_length_b 5.115
_cell_length_c 4.520
_cell_angle_alpha 90.00
_cell_angle_beta 90.00
_cell_angle_gamma 90.00
loop_
_atom_site_label
_atom_site_type_symbol
_atom_site_fract_x
_atom_site_fract_y
_atom_site_fract_z
Ti1 Ti 0.000 0.000 0.000
Te1 Te 0.000 0.500 0.500
Te2 Te 0.500 0.000 0.500
Ru1 Ru 0.000 0.000 0.500
Pt1 Pt 0.500 0.500 0.000

# Ti2TeRuPt PBE relaxed
# ΔE_f (raw) = 0.53 eV per atom
data_Ti2TeRuPt
_chemical_formula_sum 'Ti2 Te1 Ru1 Pt1'
_space_group_name_H-M_alt 'P 1'
_space_group_IT_number 1
_space_group_name_Hall 'P 1'
_cell_length_a 4.762
_cell_length_b 4.762
_cell_length_c 4.887
_cell_angle_alpha 90.00
_cell_angle_beta 90.00
_cell_angle_gamma 90.00
loop_
_atom_site_label
_atom_site_type_symbol
_atom_site_fract_x
_atom_site_fract_y
_atom_site_fract_z
Ti1 Ti 0.000 0.500 0.000
Ti2 Ti 0.500 0.000 0.000
Te1 Te 0.000 0.000 0.500
Ru1 Ru 0.500 0.500 0.500
Pt1 Pt 0.500 0.500 0.000

# TiTeRu2Pt PBE relaxed
# ΔE_f (raw) = 1.45 eV per atom
data_TiTeRu2Pt
_chemical_formula_sum 'Ti1 Te1 Ru2 Pt1'
_space_group_name_H-M_alt 'P 1'
_space_group_IT_number 1
_space_group_name_Hall 'P 1'
_cell_length_a 4.743
_cell_length_b 4.743
_cell_length_c 5.131
_cell_angle_alpha 90.00
_cell_angle_beta 90.00
_cell_angle_gamma 90.00
loop_
_atom_site_label
_atom_site_type_symbol
_atom_site_fract_x
_atom_site_fract_y
_atom_site_fract_z
Ti1 Ti 0.000 0.000 0.000
Te1 Te 0.500 0.500 0.000
Ru1 Ru 0.000 0.500 0.500
Ru2 Ru 0.500 0.000 0.500
Pt1 Pt 0.500 0.500 0.500

# ZnTeRuPt2 PBE relaxed
# ΔE_f (raw) = 1.06 eV per atom
data_ZnTeRuPt2
_chemical_formula_sum 'Zn1 Te1 Ru1 Pt2'
_space_group_name_H-M_alt 'P 1'
_space_group_IT_number 1
_space_group_name_Hall 'P 1'
_cell_length_a 4.922
_cell_length_b 4.922
_cell_length_c 4.904
_cell_angle_alpha 90.00
_cell_angle_beta 90.00
_cell_angle_gamma 90.00
loop_
_atom_site_label
_atom_site_type_symbol
_atom_site_fract_x
_atom_site_fract_y
_atom_site_fract_z
Zn1 Zn 0.000 0.000 0.000
Te1 Te 0.500 0.500 0.500
Ru1 Ru 0.500 0.500 0.000
Pt1 Pt 0.000 0.500 0.500
Pt2 Pt 0.500 0.000 0.500

Below is crystalline Th5Ru2Pt2 at its relaxed geometry, with properties calculated at the PBE level.

Cell and atoms, written as CIF:
```
data_Th5Ru2Pt2
_chemical_formula_sum 'Th10 Ru4 Pt4'
_space_group_name_H-M_alt 'P 1'
_space_group_IT_number 1
_space_group_name_Hall 'P 1'
_cell_length_a 8.474
_cell_length_b 8.474
_cell_length_c 7.690
_cell_angle_alpha 90.00
_cell_angle_beta 90.00
_cell_angle_gamma 54.15
loop_
_atom_site_label
_atom_site_type_symbol
_atom_site_fract_x
_atom_site_fract_y
_atom_site_fract_z
Th1 Th 0.000 0.000 0.000
Th2 Th 0.040 0.693 0.667
Th3 Th 0.193 0.540 0.167
Th4 Th 0.307 0.960 0.667
Th5 Th 0.460 0.807 0.167
Th6 Th 0.500 0.500 0.500
Th7 Th 0.540 0.193 0.833
Th8 Th 0.693 0.040 0.333
Th9 Th 0.807 0.460 0.833
Th10 Th 0.960 0.307 0.333
Ru1 Ru 0.139 0.861 0.361
Ru2 Ru 0.361 0.639 0.861
Ru3 Ru 0.639 0.361 0.139
Ru4 Ru 0.861 0.139 0.639
Pt1 Pt 0.210 0.210 0.000
Pt2 Pt 0.290 0.290 0.500
Pt3 Pt 0.710 0.710 0.500
Pt4 Pt 0.790 0.790 0.000
```

Below is crystalline Th5RuPt4 at its relaxed geometry, with properties calculated at the PBE level.

Cell and atoms, written as CIF:
```
data_Th5RuPt4
_chemical_formula_sum 'Th5 Ru1 Pt4'
_space_group_name_H-M_alt 'P 1'
_space_group_IT_number 1
_space_group_name_Hall 'P 1'
_cell_length_a 7.228
_cell_length_b 7.228
_cell_length_c 7.228
_cell_angle_alpha 99.61
_cell_angle_beta 99.61
_cell_angle_gamma 131.76
loop_
_atom_site_label
_atom_site_type_symbol
_atom_site_fract_x
_atom_site_fract_y
_atom_site_fract_z
Th1 Th 0.000 0.000 0.000
Th2 Th 0.211 0.599 0.811
Th3 Th 0.401 0.211 0.612
Th4 Th 0.599 0.789 0.388
Th5 Th 0.789 0.401 0.189
Ru1 Ru 0.500 0.500 0.000
Pt1 Pt 0.095 0.303 0.399
Pt2 Pt 0.303 0.905 0.208
Pt3 Pt 0.697 0.095 0.792
Pt4 Pt 0.905 0.697 0.601
```

# Th4Ru2Pt PBE relaxed
# ΔE to the lowest computed polymorph = 0.00 eV/f.u.
data_Th4Ru2Pt
_chemical_formula_sum 'Th8 Ru4 Pt2'
_space_group_name_H-M_alt 'P 1'
_space_group_IT_number 1
_space_group_name_Hall 'P 1'
_cell_length_a 7.713
_cell_length_b 7.713
_cell_length_c 7.713
_cell_angle_alpha 108.27
_cell_angle_beta 108.27
_cell_angle_gamma 111.89
loop_
_atom_site_label
_atom_site_type_symbol
_atom_site_fract_x
_atom_site_fract_y
_atom_site_fract_z
Th1 Th 0.021 0.386 0.255
Th2 Th 0.131 0.766 0.745
Th3 Th 0.136 0.271 0.755
Th4 Th 0.234 0.979 0.365
Th5 Th 0.516 0.381 0.245
Th6 Th 0.614 0.869 0.635
Th7 Th 0.619 0.864 0.135
Th8 Th 0.729 0.484 0.865
Ru1 Ru 0.230 0.625 0.105
Ru2 Ru 0.375 0.480 0.605
Ru3 Ru 0.520 0.125 0.895
Ru4 Ru 0.875 0.770 0.395
Pt1 Pt 0.000 0.000 0.000
Pt2 Pt 0.750 0.250 0.500

Below is crystalline ThRu2Pt at its relaxed geometry, with properties calculated at the PBE level.

Cell and atoms, written as CIF:
```
data_ThRu2Pt
_chemical_formula_sum 'Th1 Ru2 Pt1'
_space_group_name_H-M_alt 'P 1'
_space_group_IT_number 1
_space_group_name_Hall 'P 1'
_cell_length_a 4.210
_cell_length_b 4.210
_cell_length_c 4.040
_cell_angle_alpha 90.00
_cell_angle_beta 90.00
_cell_angle_gamma 90.00
loop_
_atom_site_label
_atom_site_type_symbol
_atom_site_fract_x
_atom_site_fract_y
_atom_site_fract_z
Th1 Th 0.000 0.000 0.000
Ru1 Ru 0.000 0.500 0.500
Ru2 Ru 0.500 0.000 0.500
Pt1 Pt 0.500 0.500 0.000
```

# Th4Ru2Pt PBE relaxed
# ΔE to the lowest computed polymorph = 0.05 eV/f.u.
data_Th4Ru2Pt
_chemical_formula_sum 'Th8 Ru4 Pt2'
_space_group_name_H-M_alt 'P 1'
_space_group_IT_number 1
_space_group_name_Hall 'P 1'
_cell_length_a 6.981
_cell_length_b 6.981
_cell_length_c 13.728
_cell_angle_alpha 90.00
_cell_angle_beta 90.00
_cell_angle_gamma 146.34
loop_
_atom_site_label
_atom_site_type_symbol
_atom_site_fract_x
_atom_site_fract_y
_atom_site_fract_z
Th1 Th 0.000 0.000 0.000
Th2 Th 0.000 0.000 0.500
Th3 Th 0.273 0.727 0.620
Th4 Th 0.273 0.727 0.880
Th5 Th 0.449 0.551 0.250
Th6 Th 0.551 0.449 0.750
Th7 Th 0.727 0.273 0.120
Th8 Th 0.727 0.273 0.380
Ru1 Ru 0.369 0.631 0.063
Ru2 Ru 0.369 0.631 0.437
Ru3 Ru 0.631 0.369 0.563
Ru4 Ru 0.631 0.369 0.937
Pt1 Pt 0.111 0.889 0.250
Pt2 Pt 0.889 0.111 0.750

Volume, respectively: 29.534, 29.372, 29.258, 25.510, 23.650, 22.166, 23.088, 23.761, 24.869, 25.709, 25.198, 17.900, 26.490 Å³/atom.
E, respectively: -59.6, -90.5, -121.4, -25.1, -26.2, -31.6, -28.4, -20.5, -149.1, -81.4, -117.7, -33.7, -117.6 eV for the cell shown.